(1)
VASP calculation (PBE) on crystalline Sr4HgPb3 at its relaxed geometry.

It has space group I4/mmm (No. 139), with a = 5.803 Å, b = 5.803 Å, c = 16.398 Å, α = 90.00°, β = 90.00° and γ = 90.00°. The distinct sites, in fractional coordinates, are Sr at (0.000, 0.500, 0.124), Hg at (0.000, 0.000, 0.000), Pb at (0.000, 0.000, 0.250) and Pb at (0.000, 0.000, 0.500).

Its energy of formation from the pure elements is -0.55 eV per atom. For the magnetic moment, the calculation gives 0.0 μB/cell. Its total energy is -2.82 eV per atom.

(2)
VASP calculation (PBE) on crystalline Cu2TcPt at its relaxed geometry.

It has space group Cm (No. 8), with a = 8.920 Å, b = 2.668 Å, c = 4.671 Å, α = 90.00°, β = 98.28° and γ = 90.00°. The distinct sites, in fractional coordinates, are Cu at (0.000, 0.000, 0.000), Cu at (0.250, 0.000, 0.791), Tc at (0.251, 0.500, 0.288) and Pt at (0.498, 0.000, 0.499).

Its energy of formation from the pure elements is 0.05 eV per atom. For the magnetic moment, the calculation gives 0.0 μB/cell. Its total energy is -6.10 eV per atom.

(3)
VASP calculation (PBE) on crystalline AcCdAs4 at its relaxed geometry.

It has space group F-43m (No. 216), with a = 8.263 Å, b = 8.263 Å, c = 8.263 Å, α = 90.00°, β = 90.00° and γ = 90.00°. The distinct sites, in fractional coordinates, are Ac at (0.000, 0.000, 0.000), Cd at (0.250, 0.250, 0.750) and As at (0.118, 0.118, 0.382).

Its energy of formation from the pure elements is -0.27 eV per atom. For the magnetic moment, the calculation gives 0.0 μB/cell. Its total energy is -4.21 eV per atom.

(4)
VASP calculation (PBE) on crystalline HfAs2Au at its relaxed geometry.

It has space group R-3m (No. 166, hexagonal axes), with a = 3.6445 Å, b = 3.6445 Å, c = 24.8162 Å, α = 90.00°, β = 90.00° and γ = 120.00°. The distinct sites, in fractional coordinates, are Hf at (0.0000, 0.0000, 0.0000), As at (0.0000, 0.0000, 0.4015) and Au at (0.0000, 0.0000, 0.5000).

Its energy of formation from the pure elements is -0.28 eV per atom. For the magnetic moment, the calculation gives 0.0 μB/cell. Its total energy is -5.92 eV per atom.

(5)
VASP calculation (PBE) on crystalline La2In3Hg at its relaxed geometry.

It has space group Fmmm (No. 69), with a = 7.782 Å, b = 10.056 Å, c = 17.326 Å, α = 90.00°, β = 90.00° and γ = 90.00°. The distinct sites, in fractional coordinates, are La at (0.245, 0.000, 0.000), La at (0.250, 0.250, 0.250), In at (0.000, 0.000, 0.333), In at (0.000, 0.249, 0.416) and Hg at (0.000, 0.000, 0.167).

Its energy of formation from the pure elements is -0.50 eV per atom. For the magnetic moment, the calculation gives 0.0 μB/cell. Its total energy is -3.56 eV per atom.

(6)
VASP calculation (PBE) on crystalline LaSm3Pd3 at its relaxed geometry.

It has space group C2/m (No. 12), with a = 9.678 Å, b = 10.609 Å, c = 7.197 Å, α = 90.00°, β = 91.07° and γ = 90.00°. The distinct sites, in fractional coordinates, are La at (0.240, 0.000, 0.377), Sm at (0.000, 0.250, 0.500), Sm at (0.000, 0.321, 0.000), Sm at (0.158, 0.000, 0.874), Pd at (0.065, 0.500, 0.307) and Pd at (0.243, 0.249, 0.220).

Its energy of formation from the pure elements is -0.62 eV per atom. For the magnetic moment, the calculation gives 0.0 μB/cell. Its total energy is -5.58 eV per atom.

(7)
VASP calculation (PBE) on crystalline Tb5Nd12Er2 at its relaxed geometry.

It has space group C2/m (No. 12), with a = 19.219 Å, b = 7.554 Å, c = 10.066 Å, α = 90.00°, β = 116.69° and γ = 90.00°. The distinct sites, in fractional coordinates, are Tb at (0.000, 0.000, 0.000), Tb at (0.175, 0.000, 0.672), Tb at (0.179, 0.500, 0.695), Nd at (0.005, 0.000, 0.711), Nd at (0.008, 0.500, 0.828), Nd at (0.160, 0.249, 0.349), Nd at (0.165, 0.239, 0.997) and Er at (0.000, 0.299, 0.500).

Its energy of formation from the pure elements is 0.17 eV per atom. For the magnetic moment, the calculation gives 0.0 μB/cell. Its total energy is -4.54 eV per atom.

(8)
VASP calculation (PBE) on crystalline ReSi2Pb at its relaxed geometry.

It has space group I-4m2 (No. 119), with a = 4.198 Å, b = 4.198 Å, c = 7.888 Å, α = 90.00°, β = 90.00° and γ = 90.00°. The distinct sites, in fractional coordinates, are Re at (0.000, 0.000, 0.000), Si at (0.000, 0.000, 0.500), Si at (0.000, 0.500, 0.750) and Pb at (0.000, 0.500, 0.250).

For the magnetic moment, the calculation gives 0.0 μB/cell. As for the formation energy from raw total energies: 0.99 eV per atom. Its total energy is -5.76 eV per atom.